Record 1
DFT (PBE-GGA) results for a geometry-optimized Li3Cd3Ag2 structure.

Cell: 7.3668 7.3668 9.5052 Å, 90.00 90.00 120.00°
Space group R32 (No. 155, hexagonal axes)
Unique sites:
Li 0.0000 0.2513 0.0000
Cd 0.0000 0.7468 0.5000
Ag 0.0000 0.0000 0.2447

Excess energy over the best structure of this formula in the dataset ... 33 meV/atom
ΔH_f (0 K) ... -0.165 eV per atom

Record 2
DFT (PBE-GGA) results for a geometry-optimized BaP2OsS structure.

Cell: 5.527 5.527 5.515 Å, 90.00 90.00 90.00°
Space group P4/mmm (No. 123)
Unique sites:
Ba 0.000 0.000 0.000
P 0.000 0.500 0.000
Os 0.500 0.500 0.500
S 0.000 0.000 0.500

Excess energy over the best structure of this formula in the dataset ... 2729 meV/atom
Formation energy from raw total energies ... 2.37 eV per atom

Record 3
DFT (PBE-GGA) results for a geometry-optimized Mn2FeC structure.

Cell: 2.7550 2.7550 19.2844 Å, 90.00 90.00 120.00°
Space group R-3m (No. 166, hexagonal axes)
Unique sites:
Mn 0.0000 0.0000 0.2259
Fe 0.0000 0.0000 0.0000
C 0.0000 0.0000 0.5000

ΔH_f (0 K) ... 0.124 eV per atom

Record 4
DFT (PBE-GGA) results for a geometry-optimized La2GaCoPd structure.

Cell: 5.212 5.212 4.530 Å, 90.00 90.00 90.00°
Space group P4/mmm (No. 123)
Unique sites:
La 0.000 0.500 0.000
Ga 0.000 0.000 0.500
Co 0.000 0.000 0.000
Pd 0.500 0.500 0.500

ΔH_f (0 K) ... -0.417 eV per atom

Record 5
DFT (PBE-GGA) results for a geometry-optimized PaAlAg2O6 structure.

Cell: 5.5539 5.5539 14.1911 Å, 90.00 90.00 120.00°
Space group R3 (No. 146, hexagonal axes)
Unique sites:
Pa 0.0000 0.0000 0.0000
Al 0.0000 0.0000 0.5058
Ag 0.0000 0.0000 0.2910
Ag 0.0000 0.0000 0.7640
O 0.0200 0.4055 0.2449
O 0.0859 0.7185 0.0852

Formation energy from raw total energies ... -1.86 eV per atom

Record 6
DFT (PBE-GGA) results for a geometry-optimized Li2GaHgAu structure.

Cell: 4.908 4.908 4.850 Å, 90.00 90.00 90.00°
Space group P4/mmm (No. 123)
Unique sites:
Li 0.000 0.500 0.000
Ga 0.000 0.000 0.500
Hg 0.500 0.500 0.500
Au 0.000 0.000 0.000

Excess energy over the best structure of this formula in the dataset ... 224 meV/atom
ΔH_f (0 K) ... -0.157 eV per atom

Record 7
DFT (PBE-GGA) results for a geometry-optimized SrLi2Be structure.

Cell: 4.619 4.312 5.223 Å, 90.00 90.08 90.00°
Space group P2/m (No. 10)
Unique sites:
Sr 0.000 0.000 0.000
Li 0.000 0.500 0.500
Li 0.500 0.000 0.500
Be 0.500 0.500 0.000

ΔH_f (0 K) ... 0.449 eV per atom

Record 8
DFT (PBE-GGA) results for a geometry-optimized PmDy6Er2Th3 structure.

Cell: 6.172 10.689 11.729 Å, 90.00 100.12 90.00°
Space group C2/m (No. 12)
Unique sites:
Pm 0.000 0.000 0.000
Dy 0.249 0.000 0.746
Dy 0.249 0.333 0.746
Er 0.000 0.333 0.000
Th 0.000 0.166 0.500
Th 0.000 0.500 0.500

ΔH_f (0 K) ... 0.022 eV per atom

| no. | M_tot (μB per formula unit) | E_tot (eV/atom) |
| --- | --- | --- |
| 1 | 0.00 | -1.939 |
| 2 | 4.05 | -3.249 |
| 3 | 6.46 | -8.882 |
| 4 | 0.00 | -5.453 |
| 5 | 1.65 | -6.728 |
| 6 | 0.00 | -2.244 |
| 7 | 0.00 | -1.860 |
| 8 | 0.00 | -5.290 |